# K2YRh

K2YRh after structural relaxation (PBE, the Alexandria database).

a = 5.547 Å, b = 5.547 Å, c = 5.547 Å
α = 60.00°, β = 60.00°, γ = 60.00°
Fractional positions:
Y: 0.000 0.000 0.000
K: 0.250 0.250 0.250
K: 0.750 0.750 0.750
Rh: 0.500 0.500 0.500

DFT formation energy = 0.940 eV/atom
Theoretical density = 3.71 g/cm3
Offset from the most stable computed form = 0.994 eV/atom
Volume = 30.17 A^3/atom
Total magnetization = 0.00 Bohr magnetons per cell
Energy = -12.25 eV/cell

***

# BePt3

BePt3 after structural relaxation (PBE, the Alexandria database).

a = 4.935 Å, b = 4.935 Å, c = 4.935 Å
α = 90.00°, β = 90.00°, γ = 90.00°
Fractional positions:
Be: 0.000 0.000 0.000
Be: 0.500 0.500 0.500
Pt: 0.000 0.250 0.500
Pt: 0.000 0.750 0.500
Pt: 0.250 0.500 0.000
Pt: 0.500 0.000 0.250
Pt: 0.500 0.000 0.750
Pt: 0.750 0.500 0.000

DFT formation energy = 0.162 eV/atom
Theoretical density = 16.42 g/cm3
Volume = 15.02 A^3/atom
Total magnetization = 0.00 Bohr magnetons per cell
Energy = -42.40 eV/cell

***

# FeNi3Ag

FeNi3Ag after structural relaxation (PBE, the Alexandria database).

a = 4.300 Å, b = 4.300 Å, c = 4.300 Å
α = 90.00°, β = 90.00°, γ = 90.00°
Last column: magnetic moment on the atom in μB.
Fractional positions:
Ni: 0.000 0.500 0.000  0.80
Ni: 0.000 0.000 0.500  1.01
Ni: 0.500 0.000 0.000  0.47
Fe: 0.000 0.000 0.000  2.64
Ag: 0.500 0.500 0.500  -0.02

DFT formation energy = 0.939 eV/atom
Theoretical density = 7.10 g/cm3
Offset from the most stable computed form = 0.000 eV/atom
Volume = 15.90 A^3/atom
Total magnetization = 4.82 Bohr magnetons per cell
Energy = -23.96 eV/cell

***

# Pm5NdSm2Ho

Pm5NdSm2Ho after structural relaxation (PBE, the Alexandria database).

a = 8.878 Å, b = 8.878 Å, c = 10.055 Å
α = 116.20°, β = 116.20°, γ = 90.00°
Fractional positions:
Pm: 0.929 0.429 0.276
Pm: 0.654 0.154 0.724
Pm: 0.071 0.571 0.724
Pm: 0.154 0.071 0.724
Pm: 0.571 0.654 0.724
Pm: 0.846 0.929 0.276
Pm: 0.429 0.346 0.276
Pm: 0.346 0.846 0.276
Pm: 0.500 0.500 0.000
Pm: 0.000 0.000 0.000
Nd: 0.250 0.250 0.500
Nd: 0.750 0.750 0.500
Sm: 0.116 0.384 0.000
Sm: 0.616 0.116 0.000
Sm: 0.384 0.884 0.000
Sm: 0.884 0.616 0.000
Ho: 0.250 0.750 0.500
Ho: 0.750 0.250 0.500

DFT formation energy = 0.279 eV/atom
Theoretical density = 7.16 g/cm3
Volume = 34.40 A^3/atom
Total magnetization = 0.00 Bohr magnetons per cell
Energy = -80.05 eV/cell

***

# KTaAl

KTaAl after structural relaxation (PBE, the Alexandria database).

a = 4.937 Å, b = 4.937 Å, c = 4.937 Å
α = 60.00°, β = 60.00°, γ = 60.00°
Last column: magnetic moment on the atom in μB.
Fractional positions:
K: 0.750 0.750 0.750  0.04
Al: 0.500 0.500 0.500  -0.04
Ta: 0.000 0.000 0.000  1.07

DFT formation energy = 2.390 eV/atom
Theoretical density = 4.82 g/cm3
Offset from the most stable computed form = 1.794 eV/atom
Volume = 28.36 A^3/atom
Total magnetization = 1.47 Bohr magnetons per cell
Energy = -9.52 eV/cell

***

# KNa2YH

KNa2YH after structural relaxation (PBE, the Alexandria database).

a = 5.542 Å, b = 5.097 Å, c = 5.542 Å
α = 90.00°, β = 90.00°, γ = 90.00°
Last column: magnetic moment on the atom in μB.
Fractional positions:
Y: 0.500 0.500 0.500  0.29
Na: 0.000 0.000 0.500  0.01
Na: 0.500 0.000 0.000  0.00
K: 0.000 0.500 0.000  0.01
H: 0.000 0.000 0.000  0.02

Theoretical density = 1.86 g/cm3
Volume = 31.31 A^3/atom
Total magnetization = 1.01 Bohr magnetons per cell
Energy = -11.28 eV/cell

***

# LuScCdGa

LuScCdGa after structural relaxation (PBE, the Alexandria database).

a = 4.973 Å, b = 4.973 Å, c = 4.973 Å
α = 60.00°, β = 60.00°, γ = 60.00°
Fractional positions:
Sc: 0.500 0.500 0.500
Lu: 0.000 0.000 0.000
Ga: 0.250 0.250 0.250
Cd: 0.750 0.750 0.750

DFT formation energy = -0.415 eV/atom
Theoretical density = 7.68 g/cm3
Volume = 21.74 A^3/atom
Total magnetization = 0.00 Bohr magnetons per cell
Energy = -16.46 eV/cell

***

# LiTbAlTl

LiTbAlTl after structural relaxation (PBE, the Alexandria database).

a = 5.053 Å, b = 5.053 Å, c = 5.053 Å
α = 60.00°, β = 60.00°, γ = 60.00°
Fractional positions:
Tl: 0.250 0.250 0.250
Tb: 0.000 0.000 0.000
Al: 0.750 0.750 0.750
Li: 0.500 0.500 0.500

DFT formation energy = -0.245 eV/atom
Theoretical density = 7.23 g/cm3
Volume = 22.80 A^3/atom
Total magnetization = 0.00 Bohr magnetons per cell
Energy = -13.63 eV/cell

***

# Th2Al3Zn9

Th2Al3Zn9 after structural relaxation (PBE, the Alexandria database).

a = 7.887 Å, b = 7.887 Å, c = 9.309 Å
α = 90.00°, β = 90.00°, γ = 119.85°
Fractional positions:
Th: 0.672 0.999 0.250
Th: 0.328 0.001 0.750
Th: 0.999 0.672 0.250
Th: 0.001 0.328 0.750
Al: 0.000 0.000 0.000
Al: 0.000 0.000 0.500
Al: 0.315 0.685 0.000
Al: 0.685 0.315 0.500
Al: 0.685 0.315 0.000
Al: 0.315 0.685 0.500
Zn: 0.143 0.143 0.250
Zn: 0.857 0.857 0.750
Zn: 0.341 0.341 0.558
Zn: 0.659 0.659 0.058
Zn: 0.341 0.341 0.942
Zn: 0.659 0.659 0.442
Zn: 0.543 0.352 0.250
Zn: 0.457 0.648 0.750
Zn: 0.352 0.543 0.250
Zn: 0.648 0.457 0.750
Zn: 0.339 0.028 0.090
Zn: 0.661 0.972 0.590
Zn: 0.028 0.339 0.410
Zn: 0.972 0.661 0.910
Zn: 0.661 0.972 0.910
Zn: 0.339 0.028 0.410
Zn: 0.972 0.661 0.590
Zn: 0.028 0.339 0.090

DFT formation energy = -0.216 eV/atom
Theoretical density = 7.50 g/cm3
Volume = 17.94 A^3/atom
Total magnetization = 0.00 Bohr magnetons per cell
Energy = -81.13 eV/cell

***

# Sm2Al3Cu

Sm2Al3Cu after structural relaxation (PBE, the Alexandria database).

a = 4.544 Å, b = 5.725 Å, c = 5.827 Å
α = 79.61°, β = 67.05°, γ = 66.61°
Fractional positions:
Sm: 0.541 0.207 0.712
Sm: 0.453 0.793 0.300
Al: 0.849 0.604 0.698
Al: 0.828 0.229 0.114
Al: 0.162 0.775 0.902
Cu: 0.167 0.392 0.273

DFT formation energy = -0.440 eV/atom
Theoretical density = 5.77 g/cm3
Volume = 21.34 A^3/atom
Total magnetization = 0.00 Bohr magnetons per cell
Energy = -27.40 eV/cell

***

# Rb2NaPb16

Rb2NaPb16 after structural relaxation (PBE, the Alexandria database).

a = 8.805 Å, b = 8.805 Å, c = 8.805 Å
α = 81.71°, β = 81.71°, γ = 81.71°
Fractional positions:
Rb: 0.656 0.656 0.656
Rb: 0.340 0.340 0.340
Na: 0.901 0.901 0.901
Pb: 0.707 0.002 0.296
Pb: 0.002 0.296 0.707
Pb: 0.296 0.707 0.002
Pb: 0.002 0.707 0.296
Pb: 0.707 0.296 0.002
Pb: 0.296 0.002 0.707
Pb: 0.347 0.848 0.347
Pb: 0.848 0.347 0.347
Pb: 0.347 0.347 0.848
Pb: 0.647 0.157 0.647
Pb: 0.157 0.647 0.647
Pb: 0.647 0.647 0.157
Pb: 0.999 0.504 0.999
Pb: 0.504 0.999 0.999
Pb: 0.999 0.999 0.504
Pb: 0.098 0.098 0.098

DFT formation energy = -0.062 eV/atom
Theoretical density = 8.79 g/cm3
Volume = 34.91 A^3/atom
Total magnetization = 0.00 Bohr magnetons per cell
Energy = -63.77 eV/cell

***

# Sr6TlHg5

Sr6TlHg5 after structural relaxation (PBE, the Alexandria database).

a = 5.664 Å, b = 8.114 Å, c = 9.840 Å
α = 114.35°, β = 106.77°, γ = 90.00°
Fractional positions:
Sr: 0.832 0.581 0.664
Sr: 0.832 0.084 0.664
Sr: 0.500 0.747 0.000
Sr: 0.500 0.253 0.000
Sr: 0.168 0.916 0.336
Sr: 0.168 0.419 0.336
Tl: 0.000 0.000 0.000
Hg: 0.664 0.164 0.328
Hg: 0.335 0.335 0.669
Hg: 0.000 0.500 0.000
Hg: 0.665 0.665 0.331
Hg: 0.336 0.836 0.672

DFT formation energy = -0.517 eV/atom
Theoretical density = 7.36 g/cm3
Volume = 32.57 A^3/atom
Total magnetization = 0.00 Bohr magnetons per cell
Energy = -20.17 eV/cell

***

- Look up the theoretical density of the twelfth one.
  7.36 g/cm3